[1]
Crystalline SrMnTl2Te at its relaxed geometry. Source: Alexandria via LeMat-Bulk, functional GGA-PBE.

Density of states at the Fermi level in states/eV per atom: 1.47
V in Å³/cell: 220.97
VASP energy in eV for the cell shown: -14.11
Spin magnetization in μB/f.u.: 4.4

```
SrMnTl2Te
1.0
6.203 0.000 0.000
0.000 6.203 0.000
0.000 0.000 5.742
Sr Mn Tl Te
1 1 2 1
Cartesian
0.000 0.000 0.000 Sr
0.000 0.000 2.871 Mn
0.000 3.102 0.000 Tl
3.102 0.000 0.000 Tl
3.102 3.102 2.871 Te
```


[2]
Crystalline Sr2ZrMnTe at its relaxed geometry. Source: Alexandria via LeMat-Bulk, functional GGA-PBE.

Density of states at the Fermi level in states/eV per atom: 2.59
V in Å³/cell: 183.37
VASP energy in eV for the cell shown: -20.43
Spin magnetization in μB/f.u.: 3.3

```
Sr2ZrMnTe
1.0
6.237 0.000 0.000
0.000 6.237 0.000
0.000 0.000 4.714
Sr Zr Mn Te
2 1 1 1
Cartesian
0.000 3.118 0.000 Sr
3.118 0.000 0.000 Sr
0.000 0.000 2.357 Zr
3.118 3.118 2.357 Mn
3.118 3.118 0.000 Te
```


[3]
Crystalline SrTh3Mn at its relaxed geometry. Source: Alexandria via LeMat-Bulk, functional GGA-PBE.

Density of states at the Fermi level in states/eV per atom: 1.35
Energy of formation from the pure elements in eV per atom: 0.203
V in Å³/cell: 157.97
VASP energy in eV for the cell shown: -32.10
Spin magnetization in μB/f.u.: 0.0

```
SrTh3Mn
1.0
5.406 0.000 0.000
0.000 5.406 0.000
0.000 0.000 5.406
Sr Th Mn
1 3 1
Cartesian
0.000 0.000 0.000 Sr
0.000 2.703 2.703 Th
2.703 0.000 2.703 Th
2.703 2.703 0.000 Th
2.703 2.703 2.703 Mn
```


[4]
Crystalline SrTiMn2 at its relaxed geometry. Source: Alexandria via LeMat-Bulk, functional GGA-PBE.

Density of states at the Fermi level in states/eV per atom: 2.30
Polymorph energy (0 for the lowest one) in meV/atom: 0
Energy of formation from the pure elements in eV per atom: 0.661
V in Å³/cell: 82.49
VASP energy in eV for the cell shown: -25.27
Spin magnetization in μB/f.u.: 5.0

```
SrTiMn2
1.0
0.000 3.455 3.455
3.455 0.000 3.455
3.455 3.455 0.000
Sr Ti Mn
1 1 2
Cartesian
0.000 0.000 0.000 Sr
3.455 3.455 3.455 Ti
1.728 1.728 1.728 Mn
5.183 5.183 5.183 Mn
```


[5]
Crystalline SrTiMn2 at its relaxed geometry. Source: Alexandria via LeMat-Bulk, functional GGA-PBE.

Density of states at the Fermi level in states/eV per atom: 0.75
Polymorph energy (0 for the lowest one) in meV/atom: 146
Energy of formation from the pure elements in eV per atom: 0.808
V in Å³/cell: 212.49
VASP energy in eV for the cell shown: -49.37
Spin magnetization in μB/f.u.: 4.9

```
SrTiMn2
1.0
-2.547 2.547 8.186
2.547 -2.547 8.186
2.547 2.547 -8.186
Sr Ti Mn
2 2 4
Cartesian
2.547 1.274 2.047 Sr
0.000 1.274 6.140 Sr
2.547 -1.274 6.140 Ti
0.000 3.821 2.047 Ti
0.000 0.000 0.000 Mn
1.274 1.274 -4.093 Mn
1.274 -1.274 4.093 Mn
0.000 2.547 0.000 Mn
```


[6]
Crystalline SrTi3Mn at its relaxed geometry. Source: Alexandria via LeMat-Bulk, functional GGA-PBE.

Density of states at the Fermi level in states/eV per atom: 2.38
Polymorph energy (0 for the lowest one) in meV/atom: 1959
Energy of formation from the pure elements in eV per atom: 2.344
V in Å³/cell: 99.55
VASP energy in eV for the cell shown: -22.82
Spin magnetization in μB/f.u.: 0.2

```
SrTi3Mn
1.0
4.635 0.000 0.000
0.000 4.635 0.000
0.000 0.000 4.635
Sr Ti Mn
1 3 1
Cartesian
0.000 0.000 0.000 Sr
0.000 0.000 2.317 Ti
0.000 2.317 0.000 Ti
2.317 0.000 0.000 Ti
2.317 2.317 2.317 Mn
```


[7]
Crystalline SrTiMn3 at its relaxed geometry. Source: Alexandria via LeMat-Bulk, functional GGA-PBE.

Density of states at the Fermi level in states/eV per atom: 0.67
Polymorph energy (0 for the lowest one) in meV/atom: 0
Energy of formation from the pure elements in eV per atom: 0.722
V in Å³/cell: 111.15
VASP energy in eV for the cell shown: -33.47
Spin magnetization in μB/f.u.: 9.2

```
SrTiMn3
1.0
4.808 0.000 0.000
0.000 4.808 0.000
0.000 0.000 4.808
Sr Ti Mn
1 1 3
Cartesian
0.000 0.000 0.000 Sr
2.404 2.404 2.404 Ti
0.000 2.404 2.404 Mn
2.404 0.000 2.404 Mn
2.404 2.404 0.000 Mn
```


[8]
Crystalline SrTi3Mn at its relaxed geometry. Source: Alexandria via LeMat-Bulk, functional GGA-PBE.

Density of states at the Fermi level in states/eV per atom: 1.28
Polymorph energy (0 for the lowest one) in meV/atom: 0
Energy of formation from the pure elements in eV per atom: 0.385
V in Å³/cell: 105.37
VASP energy in eV for the cell shown: -32.61
Spin magnetization in μB/f.u.: 0.0

```
SrTi3Mn
1.0
4.723 0.000 0.000
0.000 4.723 0.000
0.000 0.000 4.723
Sr Ti Mn
1 3 1
Cartesian
0.000 0.000 0.000 Sr
0.000 2.362 2.362 Ti
2.362 0.000 2.362 Ti
2.362 2.362 0.000 Ti
2.362 2.362 2.362 Mn
```


[9]
Crystalline Sr2MnTl at its relaxed geometry. Source: Alexandria via LeMat-Bulk, functional GGA-PBE.

Density of states at the Fermi level in states/eV per atom: 0.67
Energy of formation from the pure elements in eV per atom: 0.243
V in Å³/cell: 125.35
VASP energy in eV for the cell shown: -13.93
Spin magnetization in μB/f.u.: 3.9

```
Sr2MnTl
1.0
-2.527 2.527 4.907
2.527 -2.527 4.907
2.527 2.527 -4.907
Sr Mn Tl
2 1 1
Cartesian
0.000 0.000 0.000 Sr
0.000 2.527 2.454 Sr
0.000 0.000 4.907 Mn
2.527 0.000 2.454 Tl
```


[10]
Crystalline SrMn4Tl at its relaxed geometry. Source: Alexandria via LeMat-Bulk, functional GGA-PBE.

Density of states at the Fermi level in states/eV per atom: 1.25
Energy of formation from the pure elements in eV per atom: 0.527
V in Å³/cell: 117.68
VASP energy in eV for the cell shown: -37.57
Spin magnetization in μB/f.u.: 14.0

```
SrMn4Tl
1.0
0.000 3.889 3.889
3.889 0.000 3.889
3.889 3.889 0.000
Sr Mn Tl
1 4 1
Cartesian
0.000 0.000 0.000 Sr
2.915 2.915 2.915 Mn
4.864 4.864 2.915 Mn
4.864 2.915 4.864 Mn
2.915 4.864 4.864 Mn
5.834 5.834 5.834 Tl
```


[11]
Crystalline Sr2MnTl2 at its relaxed geometry. Source: Alexandria via LeMat-Bulk, functional GGA-PBE.

Density of states at the Fermi level in states/eV per atom: 0.81
Polymorph energy (0 for the lowest one) in meV/atom: 108
Energy of formation from the pure elements in eV per atom: 0.471
V in Å³/cell: 186.93
VASP energy in eV for the cell shown: -14.91
Spin magnetization in μB/f.u.: 4.5

```
Sr2MnTl2
1.0
-2.592 2.592 6.959
2.592 -2.592 6.959
2.592 2.592 -6.959
Sr Mn Tl
2 1 2
Cartesian
2.592 0.000 3.479 Sr
0.000 2.592 3.479 Sr
0.000 0.000 0.000 Mn
0.000 0.000 5.576 Tl
0.000 0.000 8.341 Tl
```


[12]
Crystalline Sr2MnTl2 at its relaxed geometry. Source: Alexandria via LeMat-Bulk, functional GGA-PBE.

Density of states at the Fermi level in states/eV per atom: 1.62
Polymorph energy (0 for the lowest one) in meV/atom: 0
Energy of formation from the pure elements in eV per atom: 0.362
V in Å³/cell: 300.26
VASP energy in eV for the cell shown: -30.91
Spin magnetization in μB/f.u.: 0.0

```
Sr2MnTl2
1.0
7.493 0.000 0.000
0.000 7.493 0.000
0.000 0.000 5.348
Sr Mn Tl
4 2 4
Cartesian
1.298 2.448 0.000 Sr
2.448 6.195 0.000 Sr
5.044 1.298 0.000 Sr
6.195 5.044 0.000 Sr
0.000 0.000 2.674 Mn
3.746 3.746 2.674 Mn
1.135 4.881 2.674 Tl
2.612 1.135 2.674 Tl
4.881 6.358 2.674 Tl
6.358 2.612 2.674 Tl
```